Below is an optimized crystal structure of LiPuIr2, with properties calculated at the PBE-GGA level.

Properties
Formation enthalpy at 0 K   -348 meV/atom
Total energy   -8.8400 eV per atom

Cell lengths 3.806, 4.142, 4.142 Å; angles 90.00, 90.00, 90.00 degrees
Last column: magnetic moment on the atom in μB.
Sites, in units of the cell vectors:
1 Ir 0.000 0.000 0.500  -0.37
2 Ir 0.000 0.500 0.000  -0.37
3 Li 0.500 0.500 0.500  0.01
4 Pu 0.500 0.000 0.000  4.37